(1)
First-principles (PBE-GGA) data for an optimized crystal structure of Mg5TlCdAg2, as listed in Alexandria.

```
Mg5TlCdAg2
1.0
-3.8223 3.8223 7.0354
3.8223 -3.8223 7.0354
3.8223 3.8223 -7.0354
Mg Tl Cd Ag
10 2 2 4
Direct
0.0000 0.0000 0.0000 Mg
0.0771 0.5771 0.9140 Mg
0.1631 0.0771 0.5000 Mg
0.3369 0.8369 0.9140 Mg
0.4229 0.3369 0.5000 Mg
0.5000 0.5000 0.0000 Mg
0.5771 0.6631 0.5000 Mg
0.6631 0.1631 0.0860 Mg
0.8369 0.9229 0.5000 Mg
0.9229 0.4229 0.0860 Mg
0.2500 0.7500 0.5000 Tl
0.7500 0.2500 0.5000 Tl
0.2500 0.2500 0.0000 Cd
0.7500 0.7500 0.0000 Cd
0.1214 0.3786 0.5000 Ag
0.3786 0.8786 0.2573 Ag
0.6214 0.1214 0.7427 Ag
0.8786 0.6214 0.5000 Ag
```

Output
**Formation enthalpy at 0 K**: 0.02 eV/f.u.
**Size of the total moment**: 0.00 μB per formula unit

(2)
First-principles (PBE-GGA) data for an optimized crystal structure of InAs2CSe, as listed in Alexandria.

```
InAs2CSe
1.0
5.0199 0.0000 0.0000
0.0000 5.0199 0.0000
0.0000 0.0000 5.9785
In As C Se
1 2 1 1
Direct
0.0000 0.0000 0.0000 In
0.0000 0.5000 0.5000 As
0.5000 0.0000 0.5000 As
0.5000 0.5000 0.0000 C
0.0000 0.0000 0.5000 Se
```

Output
**Size of the total moment**: 1.22 μB per formula unit
**Uncorrected formation energy**: 1.940 eV/atom

(3)
First-principles (PBE-GGA) data for an optimized crystal structure of PrY2Ho2Tm, as listed in Alexandria.

```
PrY2Ho2Tm
1.0
6.4825 0.0000 0.0000
0.0000 17.8876 0.0000
0.0000 0.0000 3.4235
Pr Y Ho Tm
2 4 4 2
Direct
0.0000 0.0000 0.0000 Pr
0.5000 0.5000 0.5000 Pr
0.2165 0.1889 0.0000 Y
0.2835 0.6889 0.5000 Y
0.7165 0.3111 0.5000 Y
0.7835 0.8111 0.0000 Y
0.2134 0.3540 0.5000 Ho
0.2866 0.8540 0.0000 Ho
0.7134 0.1460 0.0000 Ho
0.7866 0.6460 0.5000 Ho
0.0000 0.5000 0.0000 Tm
0.5000 0.0000 0.5000 Tm
```

Output
**Formation enthalpy at 0 K**: 1.62 eV/f.u.
**Size of the total moment**: 0.00 μB per formula unit

(4)
First-principles (PBE-GGA) data for an optimized crystal structure of La4Tb5Pm3, as listed in Alexandria.

```
La4Tb5Pm3
1.0
8.1879 -3.0307 0.0000
8.1879 3.0307 0.0000
-4.2492 0.0000 8.4881
La Tb Pm
4 5 3
Direct
0.0848 0.0848 0.4427 La
0.2121 0.2121 0.8818 La
0.7879 0.7879 0.1182 La
0.9152 0.9152 0.5573 La
0.0000 0.0000 0.0000 Tb
0.3288 0.3288 0.6121 Tb
0.4286 0.4286 0.3012 Tb
0.5714 0.5714 0.6988 Tb
0.6712 0.6712 0.3879 Tb
0.2104 0.2104 0.2303 Pm
0.5000 0.5000 0.0000 Pm
0.7896 0.7896 0.7697 Pm
```

Output
**Formation enthalpy at 0 K**: 2.47 eV/f.u.
**Size of the total moment**: 0.27 μB per formula unit

(5)
First-principles (PBE-GGA) data for an optimized crystal structure of Ce3ReN6, as listed in Alexandria.

```
Ce3ReN6
1.0
4.6415 -5.9158 0.0000
4.6415 5.9158 0.0000
0.0000 0.0000 5.6308
Ce Re N
6 2 12
Direct
0.0997 0.9003 0.5000 Ce
0.1976 0.4002 0.5244 Ce
0.4002 0.1976 0.0244 Ce
0.5998 0.8024 0.5244 Ce
0.8024 0.5998 0.0244 Ce
0.9003 0.0997 0.0000 Ce
0.3046 0.6954 0.0743 Re
0.6954 0.3046 0.5743 Re
0.0868 0.6062 0.2270 N
0.1507 0.1664 0.2678 N
0.1664 0.1507 0.7678 N
0.2902 0.7098 0.7470 N
0.3938 0.9132 0.2270 N
0.4499 0.5501 0.1878 N
0.5501 0.4499 0.6878 N
0.6062 0.0868 0.7270 N
0.7098 0.2902 0.2470 N
0.8336 0.8493 0.2678 N
0.8493 0.8336 0.7678 N
0.9132 0.3938 0.7270 N
```

Output
**Size of the total moment**: 1.24 μB per formula unit
**Uncorrected formation energy**: -1.121 eV/atom

(6)
First-principles (PBE-GGA) data for an optimized crystal structure of MnSbW4, as listed in Alexandria.

```
MnSbW4
1.0
0.0000 3.7698 3.7698
3.7698 0.0000 3.7698
3.7698 3.7698 0.0000
Mn Sb W
1 1 4
Direct
0.0000 0.0000 0.0000 Mn
0.7500 0.7500 0.7500 Sb
0.3741 0.3741 0.3741 W
0.3741 0.3741 0.8778 W
0.3741 0.8778 0.3741 W
0.8778 0.3741 0.3741 W
```

Output
**Size of the total moment**: 3.26 μB per formula unit
**Uncorrected formation energy**: 0.673 eV/atom